# ZrBrN

A relaxed structure of ZrBrN (GGA-PBEsol, Alexandria).

Structure (POSCAR):
```
ZrBrN
1.0
3.587 0.000 0.000
0.000 4.104 0.000
0.000 0.000 8.973
Zr Br N
2 2 2
direct
0.250 0.250 0.098
0.750 0.750 0.902
0.250 0.750 0.671
0.750 0.250 0.329
0.250 0.750 0.032
0.750 0.250 0.968
```

* ΔE_f (raw): -165.9 kJ/mol of atoms
* symmetry: Pmmn


# CdRu3Pb

A relaxed structure of CdRu3Pb (GGA-PBEsol, Alexandria).

Structure (POSCAR):
```
CdRu3Pb
1.0
4.890 0.000 0.000
0.000 4.890 0.000
0.000 0.000 4.890
Cd Ru Pb
1 3 1
direct
0.000 0.000 0.000
0.000 0.500 0.500
0.500 0.000 0.500
0.500 0.500 0.000
0.500 0.500 0.500
```

* DFT formation energy: 2176 meV per atom
* symmetry: Pm-3m


# TiCo3

A relaxed structure of TiCo3 (GGA-PBEsol, Alexandria).

Structure (POSCAR):
```
TiCo3
1.0
5.025 0.000 0.000
-2.512 4.352 0.000
0.000 0.000 4.018
Ti Co
2 6
direct
0.333 0.667 0.250
0.667 0.333 0.750
0.161 0.321 0.750
0.161 0.839 0.750
0.321 0.161 0.250
0.679 0.839 0.750
0.839 0.161 0.250
0.839 0.679 0.250
```

* DFT formation energy: -247 meV per atom
* symmetry: P6_3/mmc


no.,DOS at the Fermi energy (states/eV per atom)
1,0.00
2,0.92
3,1.72